A relaxed structure of NaCd3In2. Source: Alexandria via LeMat-Bulk, functional GGA-PBE.

a b c (Å): 8.000 8.000 9.664
angles (deg): 115.41 115.41 34.55
Element x y z (fractional)
1 Na 0.136 0.136 0.002
2 Na 0.864 0.864 0.998
3 Cd 0.049 0.049 0.382
4 Cd 0.301 0.301 0.484
5 Cd 0.403 0.403 0.286
6 Cd 0.597 0.597 0.714
7 Cd 0.699 0.699 0.516
8 Cd 0.951 0.951 0.618
9 In 0.227 0.227 0.745
10 In 0.448 0.448 0.829
11 In 0.552 0.552 0.171
12 In 0.773 0.773 0.255

## Properties
Offset from the most stable computed form (eV per formula unit): 0.09

A relaxed structure of Na2Cd9In. Source: Alexandria via LeMat-Bulk, functional GGA-PBE.

a b c (Å): 6.086 6.086 19.039
angles (deg): 90.00 90.00 120.00
Element x y z (fractional)
1 Na 0.333 0.667 0.038
2 Na 0.333 0.667 0.462
3 Na 0.667 0.333 0.538
4 Na 0.667 0.333 0.962
5 Cd 0.000 0.000 0.000
6 Cd 0.000 0.000 0.250
7 Cd 0.000 0.000 0.500
8 Cd 0.000 0.000 0.750
9 Cd 0.170 0.340 0.622
10 Cd 0.170 0.340 0.878
11 Cd 0.170 0.830 0.622
12 Cd 0.170 0.830 0.878
13 Cd 0.333 0.667 0.750
14 Cd 0.340 0.170 0.122
15 Cd 0.340 0.170 0.378
16 Cd 0.660 0.830 0.622
17 Cd 0.660 0.830 0.878
18 Cd 0.667 0.333 0.250
19 Cd 0.830 0.170 0.122
20 Cd 0.830 0.170 0.378
21 Cd 0.830 0.660 0.122
22 Cd 0.830 0.660 0.378
23 In 0.333 0.667 0.250
24 In 0.667 0.333 0.750

A relaxed structure of NaCd2In5. Source: Alexandria via LeMat-Bulk, functional GGA-PBE.

a b c (Å): 8.805 8.805 8.805
angles (deg): 126.47 126.47 79.12
Element x y z (fractional)
1 Na 0.250 0.250 0.000
2 Na 0.750 0.750 0.000
3 Cd 0.139 0.639 0.777
4 Cd 0.361 0.139 0.500
5 Cd 0.639 0.861 0.500
6 Cd 0.861 0.361 0.223
7 In 0.000 0.000 0.000
8 In 0.005 0.814 0.500
9 In 0.186 0.686 0.192
10 In 0.314 0.505 0.500
11 In 0.495 0.995 0.808
12 In 0.500 0.500 0.000
13 In 0.505 0.005 0.192
14 In 0.686 0.495 0.500
15 In 0.814 0.314 0.808
16 In 0.995 0.186 0.500

## Properties
Offset from the most stable computed form (eV per formula unit): 0.18

A relaxed structure of Na3Cd3In2. Source: Alexandria via LeMat-Bulk, functional GGA-PBE.

a b c (Å): 6.151 6.151 15.148
angles (deg): 90.00 90.00 131.17
Element x y z (fractional)
1 Na 0.070 0.930 0.604
2 Na 0.070 0.930 0.896
3 Na 0.300 0.700 0.750
4 Na 0.700 0.300 0.250
5 Na 0.930 0.070 0.104
6 Na 0.930 0.070 0.396
7 Cd 0.400 0.600 0.561
8 Cd 0.400 0.600 0.939
9 Cd 0.418 0.582 0.250
10 Cd 0.582 0.418 0.750
11 Cd 0.600 0.400 0.061
12 Cd 0.600 0.400 0.439
13 In 0.233 0.767 0.101
14 In 0.233 0.767 0.399
15 In 0.767 0.233 0.601
16 In 0.767 0.233 0.899

A relaxed structure of NaCd2In10. Source: Alexandria via LeMat-Bulk, functional GGA-PBE.

a b c (Å): 10.998 8.413 8.257
angles (deg): 82.56 49.33 48.11
Element x y z (fractional)
1 Na 0.000 0.000 0.000
2 Cd 0.000 0.500 0.000
3 Cd 0.500 0.000 0.500
4 In 0.000 0.000 0.500
5 In 0.004 0.356 0.644
6 In 0.293 0.497 0.503
7 In 0.356 0.004 0.996
8 In 0.497 0.293 0.707
9 In 0.500 0.500 0.000
10 In 0.503 0.707 0.293
11 In 0.644 0.996 0.004
12 In 0.707 0.503 0.497
13 In 0.996 0.644 0.356

A relaxed structure of NaCd3In. Source: Alexandria via LeMat-Bulk, functional GGA-PBE.

a b c (Å): 8.117 7.449 8.701
angles (deg): 90.00 108.69 90.00
Element x y z (fractional)
1 Na 0.248 0.019 0.250
2 Na 0.248 0.481 0.750
3 Na 0.752 0.519 0.250
4 Na 0.752 0.981 0.750
5 Cd 0.051 0.697 0.983
6 Cd 0.051 0.803 0.483
7 Cd 0.149 0.072 0.867
8 Cd 0.149 0.428 0.367
9 Cd 0.343 0.080 0.633
10 Cd 0.343 0.420 0.133
11 Cd 0.657 0.580 0.867
12 Cd 0.657 0.920 0.367
13 Cd 0.851 0.572 0.633
14 Cd 0.851 0.928 0.133
15 Cd 0.949 0.197 0.517
16 Cd 0.949 0.303 0.017
17 In 0.443 0.702 0.520
18 In 0.443 0.798 0.020
19 In 0.557 0.202 0.980
20 In 0.557 0.298 0.480

## Properties
Offset from the most stable computed form (eV per formula unit): 0.00

A relaxed structure of Na8Cd2In. Source: Alexandria via LeMat-Bulk, functional GGA-PBE.

a b c (Å): 9.298 9.298 7.030
angles (deg): 97.57 97.57 32.43
Element x y z (fractional)
1 Na 0.051 0.051 0.245
2 Na 0.135 0.135 0.691
3 Na 0.317 0.317 0.596
4 Na 0.406 0.406 0.050
5 Na 0.594 0.594 0.950
6 Na 0.683 0.683 0.404
7 Na 0.865 0.865 0.309
8 Na 0.949 0.949 0.755
9 Cd 0.231 0.231 0.114
10 Cd 0.769 0.769 0.886
11 In 0.500 0.500 0.500

## Properties
Offset from the most stable computed form (eV per formula unit): 0.06

A relaxed structure of Na2Cd2In. Source: Alexandria via LeMat-Bulk, functional GGA-PBE.

a b c (Å): 4.330 4.330 15.077
angles (deg): 90.00 90.00 90.00
Element x y z (fractional)
1 Na 0.000 0.500 0.250
2 Na 0.000 0.500 0.750
3 Na 0.500 0.000 0.250
4 Na 0.500 0.000 0.750
5 Cd 0.000 0.000 0.095
6 Cd 0.000 0.000 0.905
7 Cd 0.500 0.500 0.405
8 Cd 0.500 0.500 0.595
9 In 0.000 0.000 0.500
10 In 0.500 0.500 0.000

## Properties
Offset from the most stable computed form (eV per formula unit): 0.88

A relaxed structure of Na4CdIn2. Source: Alexandria via LeMat-Bulk, functional GGA-PBE.

a b c (Å): 10.621 3.444 11.177
angles (deg): 90.00 102.95 90.00
Element x y z (fractional)
1 Na 0.033 0.000 0.290
2 Na 0.242 0.500 0.864
3 Na 0.258 0.000 0.136
4 Na 0.467 0.500 0.710
5 Na 0.533 0.500 0.290
6 Na 0.742 0.000 0.864
7 Na 0.758 0.500 0.136
8 Na 0.967 0.000 0.710
9 Cd 0.000 0.500 0.000
10 Cd 0.500 0.000 0.000
11 In 0.154 0.500 0.558
12 In 0.346 0.000 0.442
13 In 0.654 0.000 0.558
14 In 0.846 0.500 0.442

## Properties
Offset from the most stable computed form (eV per formula unit): 0.00

A relaxed structure of Na4Cd2In3. Source: Alexandria via LeMat-Bulk, functional GGA-PBE.

a b c (Å): 5.967 5.967 9.860
angles (deg): 112.51 112.51 47.50
Element x y z (fractional)
1 Na 0.001 0.001 0.168
2 Na 0.335 0.335 0.607
3 Na 0.665 0.665 0.393
4 Na 0.999 0.999 0.832
5 Cd 0.331 0.331 0.268
6 Cd 0.669 0.669 0.732
7 In 0.000 0.000 0.500
8 In 0.330 0.330 0.942
9 In 0.670 0.670 0.058

A relaxed structure of Na15Cd2In2. Source: Alexandria via LeMat-Bulk, functional GGA-PBE.

a b c (Å): 8.826 8.826 8.826
angles (deg): 77.19 77.19 77.19
Element x y z (fractional)
1 Na 0.000 0.000 0.500
2 Na 0.000 0.320 0.680
3 Na 0.000 0.500 0.000
4 Na 0.000 0.680 0.320
5 Na 0.150 0.657 0.657
6 Na 0.320 0.000 0.680
7 Na 0.320 0.680 0.000
8 Na 0.343 0.343 0.850
9 Na 0.343 0.850 0.343
10 Na 0.500 0.000 0.000
11 Na 0.657 0.150 0.657
12 Na 0.657 0.657 0.150
13 Na 0.680 0.000 0.320
14 Na 0.680 0.320 0.000
15 Na 0.850 0.343 0.343
16 Cd 0.083 0.083 0.083
17 Cd 0.917 0.917 0.917
18 In 0.266 0.266 0.266
19 In 0.734 0.734 0.734

A relaxed structure of Na3CdIn. Source: Alexandria via LeMat-Bulk, functional GGA-PBE.

a b c (Å): 6.331 5.273 8.271
angles (deg): 90.00 104.01 90.00
Element x y z (fractional)
1 Na 0.054 0.250 0.340
2 Na 0.249 0.250 0.743
3 Na 0.436 0.250 0.150
4 Na 0.564 0.750 0.850
5 Na 0.751 0.750 0.257
6 Na 0.946 0.750 0.660
7 Cd 0.126 0.750 0.060
8 Cd 0.874 0.250 0.940
9 In 0.362 0.750 0.444
10 In 0.638 0.250 0.556

## Properties
Offset from the most stable computed form (eV per formula unit): 0.00

A relaxed structure of Na6Cd3In. Source: Alexandria via LeMat-Bulk, functional GGA-PBE.

a b c (Å): 9.238 5.385 11.612
angles (deg): 90.00 106.78 90.00
Element x y z (fractional)
1 Na 0.002 0.250 0.344
2 Na 0.012 0.250 0.854
3 Na 0.210 0.750 0.469
4 Na 0.221 0.250 0.145
5 Na 0.405 0.250 0.937
6 Na 0.421 0.750 0.269
7 Na 0.579 0.250 0.731
8 Na 0.595 0.750 0.063
9 Na 0.779 0.750 0.855
10 Na 0.790 0.250 0.531
11 Na 0.988 0.750 0.146
12 Na 0.998 0.750 0.656
13 Cd 0.210 0.750 0.961
14 Cd 0.211 0.250 0.639
15 Cd 0.372 0.750 0.760
16 Cd 0.628 0.250 0.240
17 Cd 0.789 0.750 0.361
18 Cd 0.790 0.250 0.039
19 In 0.413 0.250 0.439
20 In 0.587 0.750 0.561

A relaxed structure of NaCdIn. Source: Alexandria via LeMat-Bulk, functional GGA-PBE.

a b c (Å): 7.040 7.040 7.040
angles (deg): 90.00 90.00 90.00
Element x y z (fractional)
1 Na 0.000 0.000 0.000
2 Na 0.000 0.500 0.500
3 Na 0.500 0.000 0.500
4 Na 0.500 0.500 0.000
5 Cd 0.250 0.250 0.250
6 Cd 0.250 0.750 0.750
7 Cd 0.750 0.250 0.750
8 Cd 0.750 0.750 0.250
9 In 0.000 0.000 0.500
10 In 0.000 0.500 0.000
11 In 0.500 0.000 0.000
12 In 0.500 0.500 0.500

## Properties
Offset from the most stable computed form (eV per formula unit): 0.39

A relaxed structure of NaCdIn. Source: Alexandria via LeMat-Bulk, functional GGA-PBE.

a b c (Å): 15.826 3.417 5.680
angles (deg): 90.00 97.62 90.00
Element x y z (fractional)
1 Na 0.082 0.000 0.359
2 Na 0.418 0.500 0.641
3 Na 0.582 0.500 0.359
4 Na 0.918 0.000 0.641
5 Cd 0.249 0.500 0.256
6 Cd 0.251 0.000 0.744
7 Cd 0.749 0.000 0.256
8 Cd 0.751 0.500 0.744
9 In 0.092 0.500 0.873
10 In 0.408 0.000 0.127
11 In 0.592 0.000 0.873
12 In 0.908 0.500 0.127

## Properties
Offset from the most stable computed form (eV per formula unit): 0.16

A relaxed structure of Na2Cd3In2. Source: Alexandria via LeMat-Bulk, functional GGA-PBE.

a b c (Å): 9.642 4.800 7.666
angles (deg): 90.00 102.32 90.00
Element x y z (fractional)
1 Na 0.071 0.000 0.224
2 Na 0.429 0.500 0.776
3 Na 0.571 0.500 0.224
4 Na 0.929 0.000 0.776
5 Cd 0.000 0.500 0.500
6 Cd 0.212 0.000 0.632
7 Cd 0.288 0.500 0.368
8 Cd 0.500 0.000 0.500
9 Cd 0.712 0.500 0.632
10 Cd 0.788 0.000 0.368
11 In 0.147 0.500 0.939
12 In 0.353 0.000 0.061
13 In 0.647 0.000 0.939
14 In 0.853 0.500 0.061

## Properties
Offset from the most stable computed form (eV per formula unit): 0.00

A relaxed structure of Na2Cd6In. Source: Alexandria via LeMat-Bulk, functional GGA-PBE.

a b c (Å): 9.022 9.022 3.204
angles (deg): 90.00 90.00 120.00
Element x y z (fractional)
1 Na 0.333 0.667 0.000
2 Na 0.667 0.333 0.000
3 Cd 0.000 0.332 0.500
4 Cd 0.000 0.668 0.500
5 Cd 0.332 0.000 0.500
6 Cd 0.332 0.332 0.500
7 Cd 0.668 0.000 0.500
8 Cd 0.668 0.668 0.500
9 In 0.000 0.000 0.000

## Properties
Offset from the most stable computed form (eV per formula unit): 0.11

A relaxed structure of Na3CdIn12. Source: Alexandria via LeMat-Bulk, functional GGA-PBE.

a b c (Å): 4.749 4.749 18.577
angles (deg): 90.00 90.00 90.00
Element x y z (fractional)
1 Na 0.000 0.000 0.000
2 Na 0.000 0.000 0.250
3 Na 0.000 0.000 0.750
4 Cd 0.000 0.000 0.500
5 In 0.000 0.500 0.125
6 In 0.000 0.500 0.377
7 In 0.000 0.500 0.623
8 In 0.000 0.500 0.875
9 In 0.500 0.000 0.125
10 In 0.500 0.000 0.377
11 In 0.500 0.000 0.623
12 In 0.500 0.000 0.875
13 In 0.500 0.500 0.000
14 In 0.500 0.500 0.250
15 In 0.500 0.500 0.500
16 In 0.500 0.500 0.750

A relaxed structure of Na3CdIn. Source: Alexandria via LeMat-Bulk, functional GGA-PBE.

a b c (Å): 5.737 5.737 5.737
angles (deg): 90.00 90.00 90.00
Element x y z (fractional)
1 Na 0.000 0.000 0.500
2 Na 0.000 0.500 0.000
3 Na 0.500 0.000 0.000
4 Cd 0.000 0.000 0.000
5 In 0.500 0.500 0.500

## Properties
Offset from the most stable computed form (eV per formula unit): 1.56

A relaxed structure of NaCdIn4. Source: Alexandria via LeMat-Bulk, functional GGA-PBE.

a b c (Å): 10.205 10.205 5.051
angles (deg): 90.00 90.00 142.88
Element x y z (fractional)
1 Na 0.126 0.874 0.750
2 Na 0.874 0.126 0.250
3 Cd 0.382 0.618 0.250
4 Cd 0.618 0.382 0.750
5 In 0.049 0.460 0.750
6 In 0.205 0.295 0.750
7 In 0.295 0.205 0.250
8 In 0.460 0.049 0.250
9 In 0.540 0.951 0.750
10 In 0.705 0.795 0.750
11 In 0.795 0.705 0.250
12 In 0.951 0.540 0.250

## Properties
Offset from the most stable computed form (eV per formula unit): 0.00

no.,E_form (eV/atom)
1,-0.0272
2,-0.0248
3,0.0220
4,-0.0749
5,0.0178
6,-0.0538
7,-0.0474
8,0.0742
9,-0.0586
10,-0.0857
11,0.0710
12,-0.0964
13,-0.0724
14,0.0054
15,-0.0730
16,-0.0767
17,-0.0595
18,-0.0578
19,0.2161
20,-0.0328